28
Lattice="5.2749 -3.0559 0.0000 5.2749 3.0559 0.0000 -0.1301 0.0000 9.8813" Properties=species:S:1:pos:R:3 comment="Li4Cr3Co2Sb3O16 GGA+U relaxed" total_energy_ev_per_atom=-6.38 magnetic_moment_mub_per_atom=0.321 spacegroup="Cm (8)" pbc="T T T"
Li 0.0000 0.0000 0.0000
Li -0.0193 0.0000 5.0847
Li 3.3421 0.0000 6.2717
Li 6.9843 0.0000 1.0242
Cr 1.6589 0.0000 2.8570
Cr 5.9417 1.5058 7.8079
Cr 5.9417 -1.5058 7.8079
Co 3.2186 0.0000 9.7474
Co 6.7185 0.0000 5.2533
Sb 4.2635 1.5115 2.8561
Sb 4.2635 -1.5115 2.8561
Sb 8.5403 0.0000 7.8076
O 2.6312 1.3922 1.7541
O 4.1944 1.6319 8.9270
O 1.4439 0.0000 8.8857
O 5.9308 1.6183 3.9397
O 3.3903 0.0000 3.9646
O 2.6312 -1.3922 1.7541
O 5.0344 0.0000 1.7304
O 5.2399 0.0000 6.6639
O 7.6252 1.3618 6.6307
O 6.8213 0.0000 8.8896
O 4.1944 -1.6319 8.9270
O 5.9308 -1.6183 3.9397
O 8.7926 0.0000 3.9660
O 7.6252 -1.3618 6.6307
O 10.3192 0.0000 6.8500
O 10.4412 0.0000 1.8285